Record 1
# Ac2Nd2Y

A relaxed structure of Ac2Nd2Y (PBE-GGA, the Alexandria database).

abc: 6.669 6.669 11.061
angles: 114.46 114.46 65.67
Element x y z (fractional)
1 Ac 0.198 0.200 0.349
2 Ac 0.200 0.198 0.849
3 Ac 0.800 0.802 0.151
4 Ac 0.802 0.800 0.651
5 Nd 0.221 0.778 0.000
6 Nd 0.222 0.779 0.500
7 Nd 0.778 0.221 0.500
8 Nd 0.779 0.222 0.000
9 Y 0.500 0.500 0.250
10 Y 0.500 0.500 0.750

Values from the calculation:
- Energy relative to the lowest polymorph listed for this composition: 0.140 eV/atom
- Formation enthalpy at 0 K: 0.20 eV/atom
- E: -46.43 eV for the cell shown

=====

Record 2
# Cs2Sb4Pd3

A relaxed structure of Cs2Sb4Pd3 (PBE-GGA, the Alexandria database).

abc: 11.073 10.271 5.986
angles: 81.25 66.45 32.29
Element x y z (fractional)
1 Cs 0.182 0.182 0.818
2 Cs 0.818 0.818 0.182
3 Sb 0.230 0.562 0.438
4 Sb 0.438 0.770 0.230
5 Sb 0.562 0.230 0.770
6 Sb 0.770 0.438 0.562
7 Pd 0.000 0.000 0.500
8 Pd 0.500 0.500 0.000
9 Pd 0.500 0.500 0.500

Values from the calculation:
- Formation energy without anion corrections: -328 kJ/mol of formula units
- E: -37.17 eV for the cell shown

=====

Record 3
# Al2CdW

A relaxed structure of Al2CdW (PBE-GGA, the Alexandria database).

abc: 4.259 4.259 3.630
angles: 90.00 90.00 90.00
Element x y z (fractional)
1 Al 0.000 0.500 0.000
2 Al 0.500 0.000 0.000
3 Cd 0.000 0.000 0.500
4 W 0.500 0.500 0.500

Values from the calculation:
- Formation enthalpy at 0 K: 0.27 eV/atom
- E: -20.26 eV for the cell shown

=====

Record 4
# BaCeDy2

A relaxed structure of BaCeDy2 (PBE-GGA, the Alexandria database).

abc: 12.822 12.822 12.822
angles: 16.06 16.06 16.06
Element x y z (fractional)
1 Ba 0.000 0.000 0.000
2 Ce 0.500 0.500 0.500
3 Dy 0.095 0.095 0.095
4 Dy 0.905 0.905 0.905

Values from the calculation:
- Formation enthalpy at 0 K: 0.25 eV/atom
- E: -16.05 eV for the cell shown

=====

Record 5
# ZnSn2HgRh

A relaxed structure of ZnSn2HgRh (PBE-GGA, the Alexandria database).

abc: 5.096 5.096 4.926
angles: 90.00 90.00 90.00
Element x y z (fractional)
1 Zn 0.000 0.000 0.000
2 Sn 0.000 0.500 0.500
3 Sn 0.500 0.000 0.500
4 Hg 0.500 0.500 0.000
5 Rh 0.000 0.000 0.500

Values from the calculation:
- Formation enthalpy at 0 K: -0.06 eV/atom
- E: -17.24 eV for the cell shown

=====

Record 6
# SrTa2Mo

A relaxed structure of SrTa2Mo (PBE-GGA, the Alexandria database).

abc: 3.000 3.000 10.180
angles: 90.00 90.00 112.43
Element x y z (fractional)
1 Sr 0.000 0.000 0.000
2 Ta 0.500 0.500 0.296
3 Ta 0.500 0.500 0.704
4 Mo 0.000 0.000 0.500

Values from the calculation:
- Energy relative to the lowest polymorph listed for this composition: 0.058 eV/atom
- Formation enthalpy at 0 K: 0.56 eV/atom
- E: -33.96 eV for the cell shown

=====

Record 7
# Np2PtSe2N2

A relaxed structure of Np2PtSe2N2 (PBE-GGA, the Alexandria database).

abc: 3.716 3.716 11.845
angles: 90.00 90.00 120.00
Element x y z (fractional)
1 Np 0.333 0.667 0.312
2 Np 0.667 0.333 0.688
3 Pt 0.000 0.000 0.500
4 Se 0.000 0.000 0.160
5 Se 0.000 0.000 0.840
6 N 0.333 0.667 0.632
7 N 0.667 0.333 0.368

Values from the calculation:
- Formation energy without anion corrections: -357 kJ/mol of formula units
- E: -59.25 eV for the cell shown

=====

Record 8
# Tm12Zn6Ru

A relaxed structure of Tm12Zn6Ru (PBE-GGA, the Alexandria database).

abc: 7.831 7.831 7.831
angles: 92.09 92.09 92.09
Element x y z (fractional)
1 Tm 0.052 0.945 0.698
2 Tm 0.055 0.302 0.948
3 Tm 0.174 0.387 0.522
4 Tm 0.302 0.948 0.055
5 Tm 0.387 0.522 0.174
6 Tm 0.478 0.826 0.613
7 Tm 0.522 0.174 0.387
8 Tm 0.613 0.478 0.826
9 Tm 0.698 0.052 0.945
10 Tm 0.826 0.613 0.478
11 Tm 0.945 0.698 0.052
12 Tm 0.948 0.055 0.302
13 Zn 0.175 0.765 0.371
14 Zn 0.235 0.629 0.825
15 Zn 0.371 0.175 0.765
16 Zn 0.629 0.825 0.235
17 Zn 0.765 0.371 0.175
18 Zn 0.825 0.235 0.629
19 Ru 0.500 0.500 0.500

Values from the calculation:
- Formation enthalpy at 0 K: -0.13 eV/atom
- E: -72.99 eV for the cell shown

=====

Record 9
# NaHo2Rh

A relaxed structure of NaHo2Rh (PBE-GGA, the Alexandria database).

abc: 10.578 10.578 10.578
angles: 21.31 21.31 21.31
Element x y z (fractional)
1 Na 0.000 0.000 0.000
2 Ho 0.118 0.118 0.118
3 Ho 0.882 0.882 0.882
4 Rh 0.500 0.500 0.500

Values from the calculation:
- Energy relative to the lowest polymorph listed for this composition: 0.078 eV/atom
- Formation enthalpy at 0 K: -0.29 eV/atom
- E: -19.00 eV for the cell shown

=====

Record 10
# SnCl

A relaxed structure of SnCl (PBE-GGA, the Alexandria database).

abc: 8.616 8.616 6.221
angles: 90.00 90.00 120.00
Element x y z (fractional)
1 Sn 0.004 0.778 0.250
2 Sn 0.222 0.226 0.250
3 Sn 0.226 0.004 0.750
4 Sn 0.774 0.996 0.250
5 Sn 0.778 0.774 0.750
6 Sn 0.996 0.222 0.750
7 Cl 0.014 0.630 0.750
8 Cl 0.370 0.385 0.750
9 Cl 0.385 0.014 0.250
10 Cl 0.615 0.986 0.750
11 Cl 0.630 0.615 0.250
12 Cl 0.986 0.370 0.250

Values from the calculation:
- Formation energy without anion corrections: -79 kJ/mol of formula units
- E: -40.02 eV for the cell shown

=====

Record 11
# YbEuPd2

A relaxed structure of YbEuPd2 (PBE-GGA, the Alexandria database).

abc: 5.050 5.050 5.050
angles: 60.00 60.00 60.00
Element x y z (fractional)
1 Yb 0.000 0.000 0.000
2 Eu 0.500 0.500 0.500
3 Pd 0.250 0.250 0.250
4 Pd 0.750 0.750 0.750

Values from the calculation:
- Formation enthalpy at 0 K: -0.70 eV/atom
- E: -24.99 eV for the cell shown

=====

Record 12
# Fe2RhW

A relaxed structure of Fe2RhW (PBE-GGA, the Alexandria database).

abc: 2.857 4.345 4.428
angles: 90.00 90.00 90.00
Element x y z (fractional)
1 Fe 0.000 0.000 0.000
2 Fe 0.500 0.000 0.500
3 Rh 0.000 0.500 0.500
4 W 0.500 0.500 0.000

Values from the calculation:
- Energy relative to the lowest polymorph listed for this composition: 0.178 eV/atom
- Formation enthalpy at 0 K: 0.17 eV/atom
- E: -36.55 eV for the cell shown

=====

Record 13
# NaCuCl4

A relaxed structure of NaCuCl4 (PBE-GGA, the Alexandria database).

abc: 8.062 8.062 8.062
angles: 129.37 129.37 74.42
Element x y z (fractional)
1 Na 0.375 0.125 0.250
2 Na 0.625 0.875 0.750
3 Cu 0.125 0.375 0.750
4 Cu 0.875 0.625 0.250
5 Cl 0.061 0.090 0.362
6 Cl 0.199 0.561 0.471
7 Cl 0.228 0.699 0.138
8 Cl 0.410 0.272 0.971
9 Cl 0.590 0.728 0.029
10 Cl 0.772 0.301 0.862
11 Cl 0.801 0.439 0.529
12 Cl 0.939 0.910 0.638

Values from the calculation:
- Energy relative to the lowest polymorph listed for this composition: 0.081 eV/atom
- Formation energy without anion corrections: -431 kJ/mol of formula units
- E: -34.54 eV for the cell shown

=====

Record 14
# FeCCl2

A relaxed structure of FeCCl2 (PBE-GGA, the Alexandria database).

abc: 4.391 4.391 4.391
angles: 60.00 60.00 60.00
Element x y z (fractional)
1 Fe 0.000 0.000 0.000
2 C 0.500 0.500 0.500
3 Cl 0.250 0.250 0.250
4 Cl 0.750 0.750 0.750

Values from the calculation:
- Energy relative to the lowest polymorph listed for this composition: 0.276 eV/atom
- Formation energy without anion corrections: 595 kJ/mol of formula units
- E: -15.21 eV for the cell shown

=====

Record 15
# PmSm2SnN

A relaxed structure of PmSm2SnN (PBE-GGA, the Alexandria database).

abc: 4.934 4.934 4.965
angles: 90.00 90.00 90.00
Element x y z (fractional)
1 Pm 0.000 0.000 0.000
2 Sm 0.000 0.500 0.500
3 Sm 0.500 0.000 0.500
4 Sn 0.500 0.500 0.000
5 N 0.000 0.000 0.500

Values from the calculation:
- Formation energy without anion corrections: -483 kJ/mol of formula units
- E: -31.52 eV for the cell shown

=====

Record 16
# Pu2HfPaN4

A relaxed structure of Pu2HfPaN4 (PBE-GGA, the Alexandria database).

abc: 5.928 3.403 5.933
angles: 90.00 108.83 90.00
Element x y z (fractional)
1 Pu 0.000 0.000 0.000
2 Pu 0.000 0.500 0.500
3 Hf 0.500 0.000 0.500
4 Pa 0.500 0.500 0.000
5 N 0.269 0.000 0.740
6 N 0.276 0.500 0.270
7 N 0.724 0.500 0.730
8 N 0.731 0.000 0.260

Values from the calculation:
- Formation energy without anion corrections: -1166 kJ/mol of formula units
- E: -93.50 eV for the cell shown

=====

Record 17
# Ca2In5Sn5

A relaxed structure of Ca2In5Sn5 (PBE-GGA, the Alexandria database).

abc: 5.090 6.574 11.091
angles: 75.55 78.92 68.06
Element x y z (fractional)
1 Ca 0.095 0.097 0.252
2 Ca 0.905 0.903 0.748
3 In 0.000 0.500 0.000
4 In 0.175 0.664 0.493
5 In 0.227 0.275 0.728
6 In 0.773 0.725 0.272
7 In 0.825 0.336 0.507
8 Sn 0.324 0.867 0.975
9 Sn 0.416 0.478 0.221
10 Sn 0.500 0.000 0.500
11 Sn 0.584 0.522 0.779
12 Sn 0.676 0.133 0.025

Values from the calculation:
- Formation enthalpy at 0 K: -0.19 eV/atom
- E: -40.02 eV for the cell shown

=====

Record 18
# Tl2ReSi

A relaxed structure of Tl2ReSi (PBE-GGA, the Alexandria database).

abc: 4.884 4.884 4.884
angles: 60.00 60.00 60.00
Element x y z (fractional)
1 Tl 0.250 0.250 0.250
2 Tl 0.750 0.750 0.750
3 Re 0.000 0.000 0.000
4 Si 0.500 0.500 0.500

Values from the calculation:
- Energy relative to the lowest polymorph listed for this composition: 0.944 eV/atom
- Formation energy without anion corrections: 501 kJ/mol of formula units
- E: -17.41 eV for the cell shown

=====

Record 19
# RbSi3Hg

A relaxed structure of RbSi3Hg (PBE-GGA, the Alexandria database).

abc: 5.310 5.310 5.310
angles: 90.00 90.00 90.00
Element x y z (fractional)
1 Rb 0.000 0.000 0.000
2 Si 0.000 0.500 0.500
3 Si 0.500 0.000 0.500
4 Si 0.500 0.500 0.000
5 Hg 0.500 0.500 0.500

Values from the calculation:
- Energy relative to the lowest polymorph listed for this composition: 0.000 eV/atom
- Formation energy without anion corrections: 490 kJ/mol of formula units
- E: -12.46 eV for the cell shown

=====

Record 20
# KSmAgO2

A relaxed structure of KSmAgO2 (PBE-GGA, the Alexandria database).

abc: 6.775 5.580 6.722
angles: 90.00 93.55 90.00
Element x y z (fractional)
1 K 0.000 0.183 0.250
2 K 0.000 0.817 0.750
3 Sm 0.500 0.017 0.750
4 Sm 0.500 0.983 0.250
5 Ag 0.500 0.500 0.000
6 Ag 0.500 0.500 0.500
7 O 0.298 0.120 0.995
8 O 0.298 0.880 0.495
9 O 0.702 0.120 0.505
10 O 0.702 0.880 0.005

Values from the calculation:
- Formation energy without anion corrections: -767 kJ/mol of formula units
- E: -53.07 eV for the cell shown